VASP calculation (GGA-PBE) on crystalline Pm6Pr3Dy2Mg at its relaxed geometry.

Results
Fermi-level density of states: 1.31 states/eV per atom
Formation enthalpy at 0 K: 29 meV/atom

extended XYZ file:
```
12
Lattice="3.1432 -5.4521 0.0000 3.1432 5.4521 0.0000 -2.1152 0.0000 11.7421" Properties=species:S:1:pos:R:3 pbc="T T T"
Pm 1.0321 1.8078 2.8571
Pm -0.0191 0.0000 8.8673
Pm 1.0321 -1.8078 2.8571
Pm 3.1391 1.8078 8.8850
Pm 4.1902 0.0000 2.8748
Pm 3.1391 -1.8078 8.8850
Pr 2.0856 3.6319 5.8710
Pr 2.0856 0.0000 5.8710
Pr 2.0856 -3.6319 5.8710
Dy 3.1432 1.8161 0.0000
Dy 3.1432 -1.8161 0.0000
Mg 0.0000 0.0000 0.0000
```